No. 1
Na2MnBeAg after structural relaxation. Source: Alexandria, functional PBE-GGA.

a b c (Å): 5.157 4.402 5.157
angles (deg): 90.00 90.00 90.00
Sites, in units of the cell vectors:
Na (0.000, 0.000, 0.500)
Na (0.500, 0.000, 0.000)
Mn (0.000, 0.500, 0.000)
Ag (0.500, 0.500, 0.500)
Be (0.000, 0.000, 0.000)

Space-group type: P4/mmm (123)
Volume: 23.42 A^3/atom
Energy relative to the elements: 0.74 eV/atom
DFT total energy: -2.934 eV/atom
Mass density: 3.09 g cm⁻³

***

No. 2
CaEu2Th after structural relaxation. Source: Alexandria, functional PBE-GGA.

a b c (Å): 3.613 3.613 13.627
angles (deg): 82.38 82.38 60.00
Sites, in units of the cell vectors:
Eu (0.086, 0.086, 0.743)
Eu (0.914, 0.914, 0.257)
Ca (0.500, 0.500, 0.500)
Th (0.000, 0.000, 0.000)

Space-group type: R-3m (166)
Volume: 38.06 A^3/atom
Relative energy among the computed polymorphs: 156 meV per atom
Energy relative to the elements: 0.28 eV/atom
DFT total energy: -7.214 eV/atom
Mass density: 6.28 g cm⁻³

***

No. 3
PmErGePd after structural relaxation. Source: Alexandria, functional PBE-GGA.

a b c (Å): 3.956 4.314 5.867
angles (deg): 90.00 109.70 90.00
Sites, in units of the cell vectors:
Pm (0.858, 0.500, 0.716)
Er (0.136, 0.000, 0.271)
Ge (0.584, 0.500, 0.168)
Pd (0.423, 0.000, 0.845)

Space-group type: Amm2 (38)
Volume: 23.57 A^3/atom
Relative energy among the computed polymorphs: 0 meV per atom
Energy relative to the elements: -0.86 eV/atom
DFT total energy: -5.639 eV/atom
Mass density: 8.65 g cm⁻³

***

No. 4
Sm2ZnPd3 after structural relaxation. Source: Alexandria, functional PBE-GGA.

a b c (Å): 5.790 5.790 8.569
angles (deg): 105.28 105.28 102.70
Sites, in units of the cell vectors:
Sm (0.250, 0.750, 0.500)
Sm (0.753, 0.753, 0.000)
Sm (0.750, 0.250, 0.500)
Sm (0.247, 0.247, 0.000)
Zn (0.667, 0.667, 0.333)
Zn (0.333, 0.333, 0.667)
Pd (0.346, 0.827, 0.173)
Pd (0.173, 0.654, 0.827)
Pd (0.654, 0.173, 0.827)
Pd (0.827, 0.346, 0.173)
Pd (0.172, 0.172, 0.344)
Pd (0.828, 0.828, 0.656)

Space-group type: Fmmm (69)
Volume: 21.17 A^3/atom
Relative energy among the computed polymorphs: 59 meV per atom
Energy relative to the elements: -0.72 eV/atom
DFT total energy: -5.104 eV/atom
Mass density: 8.96 g cm⁻³

***

No. 5
Hf6IrN after structural relaxation. Source: Alexandria, functional PBE-GGA.

a b c (Å): 5.024 5.840 5.687
angles (deg): 82.12 91.22 66.28
Sites, in units of the cell vectors:
Hf (0.061, 0.345, 0.792)
Hf (0.763, 0.985, 0.672)
Hf (0.604, 0.255, 0.131)
Hf (0.237, 0.015, 0.328)
Hf (0.939, 0.655, 0.208)
Hf (0.396, 0.745, 0.869)
Ir (0.500, 0.500, 0.500)
N (0.000, 0.000, 0.000)

Space-group type: P-1 (2)
Volume: 18.85 A^3/atom
Uncorrected formation energy: -0.678 eV/atom
DFT total energy: -10.291 eV/atom
Mass density: 14.07 g cm⁻³

***

No. 6
Zr2ScCr after structural relaxation. Source: Alexandria, functional PBE-GGA.

a b c (Å): 7.639 4.828 3.493
angles (deg): 89.92 62.89 128.78
Sites, in units of the cell vectors:
Cr (0.000, 0.500, 0.500)
Sc (0.500, 0.500, 0.000)
Zr (0.000, 0.000, 0.000)
Zr (0.500, 0.000, 0.500)

Space-group type: C2/m (12)
Volume: 20.35 A^3/atom
Relative energy among the computed polymorphs: 105 meV per atom
Energy relative to the elements: 0.25 eV/atom
DFT total energy: -8.013 eV/atom
Mass density: 5.70 g cm⁻³